TlVInCl6 | the Alexandria database | PBE | optimized geometry; ΔE_f (raw) = -10.16 eV/f.u.; space group = P-31c (163); total moment = 3.00 μB/f.u.; calculated total energy = -3.941 eV/atom; N(E_F) = 0.07 states/eV per atom
1.0
6.621 0.000 0.000
-3.311 5.734 0.000
0.000 0.000 14.147
Tl V In Cl
2 2 2 12
direct
0.000 0.000 0.000 Tl
0.000 0.000 0.500 Tl
0.333 0.667 0.250 V
0.667 0.333 0.750 V
0.333 0.667 0.750 In
0.667 0.333 0.250 In
0.014 0.378 0.150 Cl
0.014 0.635 0.350 Cl
0.365 0.378 0.350 Cl
0.365 0.986 0.150 Cl
0.378 0.014 0.650 Cl
0.378 0.365 0.850 Cl
0.622 0.635 0.150 Cl
0.622 0.986 0.350 Cl
0.635 0.014 0.850 Cl
0.635 0.622 0.650 Cl
0.986 0.365 0.650 Cl
0.986 0.622 0.850 Cl